# PaAlOs2, relaxed, DFT GGA-PBE
data_PaAlOs2
_space_group_name_H-M_alt 'P 4/m m m'
_space_group_IT_number 123
_space_group_name_Hall '-P 4 2'
_cell_length_a 3.1592
_cell_length_b 3.1592
_cell_length_c 6.7964
_cell_angle_alpha 90.00
_cell_angle_beta 90.00
_cell_angle_gamma 90.00
loop_
_atom_site_label
_atom_site_fract_x
_atom_site_fract_y
_atom_site_fract_z
_atom_site_occupancy
Pa1 0.0000 0.0000 0.0000 1
Al1 0.0000 0.0000 0.5000 1
Os1 0.5000 0.5000 0.2864 1
# magnetic moment: 0.00 μB per atom
# ΔE to the lowest computed polymorph: 158 meV/atom



# MnPdPt2W, relaxed, DFT GGA-PBE
data_MnPdPt2W
_space_group_name_H-M_alt 'P 4/m m m'
_space_group_IT_number 123
_space_group_name_Hall '-P 4 2'
_cell_length_a 4.8489
_cell_length_b 4.8489
_cell_length_c 4.7992
_cell_angle_alpha 90.00
_cell_angle_beta 90.00
_cell_angle_gamma 90.00
loop_
_atom_site_label
_atom_site_fract_x
_atom_site_fract_y
_atom_site_fract_z
_atom_site_occupancy
Mn1 0.0000 0.0000 0.0000 1
Pd1 0.5000 0.5000 0.0000 1
Pt1 0.0000 0.5000 0.5000 1
W1 0.5000 0.5000 0.5000 1
# magnetic moment: 0.91 μB per atom



# CaZnPb3, relaxed, DFT GGA-PBE
data_CaZnPb3
_space_group_name_H-M_alt 'P m -3 m'
_space_group_IT_number 221
_space_group_name_Hall '-P 4 2 3'
_cell_length_a 5.4636
_cell_length_b 5.4636
_cell_length_c 5.4636
_cell_angle_alpha 90.00
_cell_angle_beta 90.00
_cell_angle_gamma 90.00
loop_
_atom_site_label
_atom_site_fract_x
_atom_site_fract_y
_atom_site_fract_z
_atom_site_occupancy
Ca1 0.0000 0.0000 0.0000 1
Zn1 0.5000 0.5000 0.5000 1
Pb1 0.0000 0.5000 0.5000 1
# magnetic moment: 0.00 μB per atom
# ΔE to the lowest computed polymorph: 0 meV/atom



no.,formation enthalpy at 0 K (meV/atom)
1,-235.5
2,1121.0
3,54.2